Here is a relaxed structure of RbCd2In from Alexandria via LeMat-Bulk. Energies are from PBE.

Cell lengths 5.036, 5.036, 19.661 Å; angles 90.00, 90.00, 120.00 degrees
Positions (direct):
Rb (0.000, 0.000, 0.000)
Rb (0.333, 0.667, 0.667)
Rb (0.667, 0.333, 0.333)
Cd (0.000, 0.000, 0.202)
Cd (0.000, 0.000, 0.798)
Cd (0.333, 0.667, 0.464)
Cd (0.333, 0.667, 0.869)
Cd (0.667, 0.333, 0.131)
Cd (0.667, 0.333, 0.536)
In (0.000, 0.000, 0.500)
In (0.333, 0.667, 0.167)
In (0.667, 0.333, 0.833)

Properties
SG   R-3m (166)
Magnetization   0.0 μB/f.u.
ΔE_f   -0.2 eV/f.u.